[1]
Material: LaPm2Ag
Method: DFT, PBE
State: relaxed Values from VASP.

Structure (Quantum ESPRESSO input):
```
&SYSTEM
  ibrav = 0, nat = 4, ntyp = 3
/
ATOMIC_SPECIES
Pm 145.00 Pm.upf
Ag 107.87 Ag.upf
La 138.91 La.upf
ATOMIC_POSITIONS crystal
Pm 0.903 0.903 0.292
Pm 0.097 0.097 0.708
Ag 0.500 0.500 0.500
La 0.000 0.000 0.000
CELL_PARAMETERS angstrom
-2.101 -2.751 0.377
-0.183 -2.407 -2.509
8.083 -7.767 4.449
```

Summary:
- E above lowest polymorph (eV per atom) = 0.259
- formation enthalpy at 0 K (eV/f.u.) = 0.6
- V (Å³/atom) = 31.21

***

[2]
Material: La4PmAg5
Method: DFT, PBE
State: relaxed Values from VASP.

Structure (Quantum ESPRESSO input):
```
&SYSTEM
  ibrav = 0, nat = 10, ntyp = 3
/
ATOMIC_SPECIES
Ag 107.87 Ag.upf
La 138.91 La.upf
Pm 145.00 Pm.upf
ATOMIC_POSITIONS crystal
Ag 0.500 0.500 0.907
Ag 0.500 0.500 0.702
Ag 0.500 0.500 0.093
Ag 0.500 0.500 0.298
Ag 0.500 0.500 0.500
La 0.000 0.000 0.399
La 0.000 0.000 0.601
La 0.000 0.000 0.197
La 0.000 0.000 0.803
Pm 0.000 0.000 0.000
CELL_PARAMETERS angstrom
3.773 0.000 0.000
0.000 3.773 0.000
0.000 0.000 19.354
```

Summary:
- formation enthalpy at 0 K (eV/f.u.) = -2.6
- V (Å³/atom) = 27.56

***

Which value of formation enthalpy at 0 K does entry 2 give?
-2.6 eV/f.u.

***

Which formula does entry 1 have?
LaPm2Ag

***

Among the records above, which one has the highest V?
LaPm2Ag